Entry from Alexandria: a geometry-optimized ReGeSbI2 structure (GGA-PBEsol).

Unit cell a=5.379 b=5.379 c=5.062 alpha=90.00 beta=90.00 gamma=90.00
Space group P4/mmm (No. 123)
Symmetry-distinct sites (fractional):
Re1 0.000 0.000 0.000
Ge1 0.500 0.500 0.500
Sb1 0.000 0.000 0.500
I1 0.000 0.500 0.000

Calculated values
* DOS at the Fermi energy: 1.5776 states/eV per atom
* V: 29.291 A^3/atom
* ΔE to the lowest computed polymorph: 0.0000 eV/atom
* E_form (uncorrected): 1.001 eV per atom
* size of the total moment: 0.28 μB per formula unit